Entry 1:
DFT (PBE) results for a relaxed structure of CuSbSe2N.

Calculated values
E_form (uncorrected) in eV per atom: 0.669
ΔE to the lowest computed polymorph in eV/atom: 0.000
Mass density in g cm⁻³: 6.3

Unit cell a=5.0452 b=5.0452 c=3.6979 alpha=90.00 beta=90.00 gamma=90.00
Atoms (fractional coordinates):
Sb1 0.5000 0.5000 0.5000
Cu1 0.0000 0.0000 0.0000
Se1 0.0000 0.5000 0.0000
Se2 0.5000 0.0000 0.0000
N1 0.0000 0.0000 0.5000

***

Entry 2:
DFT (PBE) results for a relaxed structure of Cu2SiSbN.

Calculated values
E_form (uncorrected) in eV per atom: 0.545
Mass density in g cm⁻³: 6.3

Unit cell a=3.8968 b=5.0300 c=3.8968 alpha=90.00 beta=90.00 gamma=90.00
Atoms (fractional coordinates):
Sb1 0.0000 0.5000 0.0000
Si1 0.5000 0.5000 0.5000
Cu1 0.0000 0.0000 0.5000
Cu2 0.5000 0.0000 0.0000
N1 0.0000 0.0000 0.0000

***

Entry 3:
DFT (PBE) results for a relaxed structure of Sr2CuSbN.

Calculated values
E_form (uncorrected) in eV per atom: -0.587
Mass density in g cm⁻³: 5.3

Unit cell a=5.6452 b=5.6452 c=3.7057 alpha=90.00 beta=90.00 gamma=90.00
Atoms (fractional coordinates):
Sb1 0.5000 0.5000 0.5000
N1 0.0000 0.0000 0.0000
Cu1 0.0000 0.0000 0.5000
Sr1 0.0000 0.5000 0.0000
Sr2 0.5000 0.0000 0.0000

***

Entry 4:
DFT (PBE) results for a relaxed structure of CuSb2TeN.

Calculated values
E_form (uncorrected) in eV per atom: 1.540
ΔE to the lowest computed polymorph in eV/atom: 0.756
Mass density in g cm⁻³: 5.9

Unit cell a=5.0092 b=5.0092 c=4.9972 alpha=90.00 beta=90.00 gamma=90.00
Atoms (fractional coordinates):
Sb1 0.0000 0.5000 0.0000
Sb2 0.5000 0.0000 0.0000
Te1 0.0000 0.0000 0.5000
Cu1 0.0000 0.0000 0.0000
N1 0.5000 0.5000 0.5000